# 1
The following is a DFT calculation (PBE) of HfBeCuSn after structural relaxation.

Summary:
Spin magnetization: 0.0 μB/f.u.
Crystal system: cubic

a b c (Å): 4.496 4.496 4.496
angles (deg): 60.00 60.00 60.00
Atoms (fractional coordinates):
Sn 0.000 0.000 0.000
Cu 0.750 0.750 0.750
Be 0.250 0.250 0.250
Hf 0.500 0.500 0.500

# 2
The following is a DFT calculation (PBE) of HfBeCuSn after structural relaxation.

Summary:
Spin magnetization: 0.0 μB/f.u.
Crystal system: cubic

a b c (Å): 4.568 4.568 4.568
angles (deg): 60.00 60.00 60.00
Atoms (fractional coordinates):
Sn 0.000 0.000 0.000
Hf 0.250 0.250 0.250
Cu 0.750 0.750 0.750
Be 0.500 0.500 0.500

# 3
The following is a DFT calculation (PBE) of BeCu2Hg after structural relaxation.

Summary:
Crystal system: cubic

a b c (Å): 4.216 4.216 4.216
angles (deg): 60.00 60.00 60.00
Atoms (fractional coordinates):
Be 0.500 0.500 0.500
Hg 0.250 0.250 0.250
Cu 0.000 0.000 0.000
Cu 0.750 0.750 0.750

# 4
The following is a DFT calculation (PBE) of BeCuHg after structural relaxation.

Summary:
Crystal system: cubic

a b c (Å): 3.994 3.994 3.994
angles (deg): 60.00 60.00 60.00
Atoms (fractional coordinates):
Cu 0.250 0.250 0.250
Be 0.000 0.000 0.000
Hg 0.750 0.750 0.750

# 5
The following is a DFT calculation (PBE) of BeCuHg2 after structural relaxation.

Summary:
Crystal system: cubic

a b c (Å): 4.573 4.573 4.573
angles (deg): 60.00 60.00 60.00
Atoms (fractional coordinates):
Hg 0.750 0.750 0.750
Hg 0.000 0.000 0.000
Be 0.500 0.500 0.500
Cu 0.250 0.250 0.250

# 6
The following is a DFT calculation (PBE) of BeCuHgSb after structural relaxation.

Summary:
Crystal system: cubic

a b c (Å): 4.666 4.666 4.666
angles (deg): 60.00 60.00 60.00
Atoms (fractional coordinates):
Cu 0.750 0.750 0.750
Be 0.250 0.250 0.250
Sb 0.000 0.000 0.000
Hg 0.500 0.500 0.500

# 7
The following is a DFT calculation (PBE) of BeTlCuHg after structural relaxation.

Summary:
Crystal system: cubic

a b c (Å): 4.649 4.649 4.649
angles (deg): 60.00 60.00 60.00
Atoms (fractional coordinates):
Cu 0.750 0.750 0.750
Be 0.250 0.250 0.250
Tl 0.000 0.000 0.000
Hg 0.500 0.500 0.500

# 8
The following is a DFT calculation (PBE) of BeInCuIr after structural relaxation.

Summary:
Spin magnetization: 0.0 μB/f.u.
Crystal system: cubic

a b c (Å): 4.278 4.278 4.278
angles (deg): 60.00 60.00 60.00
Atoms (fractional coordinates):
Cu 0.750 0.750 0.750
Ir 0.500 0.500 0.500
In 0.000 0.000 0.000
Be 0.250 0.250 0.250

| no. | final energy (eV/atom) |
| --- | --- |
| 1 | -5.179 |
| 2 | -5.050 |
| 3 | -2.639 |
| 4 | -2.269 |
| 5 | -1.501 |
| 6 | -2.476 |
| 7 | -1.998 |
| 8 | -4.705 |